Computed, not measured: a relaxed Sc2CrAgO crystal at the PBE with a Hubbard U level of DFT.

Results
D(E_F) ... 0.70 states/eV/atom
Symmetry ... P4/mmm
Electronic total energy ... -4.832 eV/atom

Lattice parameters (Å, degrees): 5.124 5.124 4.905 90.00 90.00 90.00
Fractional coordinates of all 5 atoms:
Sc1 0.000 0.500 0.000
Sc2 0.500 0.000 0.000
Cr1 0.000 0.000 0.500
Ag1 0.000 0.000 0.000
O1 0.500 0.500 0.500